(1)
# PBE-GGA Mg2AlP, relaxed
data_Mg2AlP
_space_group_name_H-M_alt 'P 1 2/m 1'
_space_group_IT_number 10
_cell_length_a 3.645
_cell_length_b 3.494
_cell_length_c 5.725
_cell_angle_alpha 90.00
_cell_angle_beta 90.19
_cell_angle_gamma 90.00
loop_
_space_group_symop_operation_xyz
'x,y,z'
'-x,-y,-z'
'-x,y,-z'
'x,-y,z'
loop_
_atom_site_label
_atom_site_type_symbol
_atom_site_fract_x
_atom_site_fract_y
_atom_site_fract_z
Mg1 Mg 0.002 0.000 0.263
Al1 Al 0.500 0.500 0.000
P1 P 0.500 0.500 0.500
# **M_tot**: 0.0 μB/f.u.
# **Calculated formation energy**: -36 kJ/mol of formula units
# **Excess energy over the best structure of this formula in the dataset**: 151 meV/atom

(2)
# PBE-GGA Mg2AlP, relaxed
data_Mg2AlP
_space_group_name_H-M_alt 'C m m m'
_space_group_IT_number 65
_space_group_name_Hall '-C 2 2'
_cell_length_a 5.673
_cell_length_b 7.828
_cell_length_c 3.324
_cell_angle_alpha 90.00
_cell_angle_beta 90.00
_cell_angle_gamma 90.00
loop_
_atom_site_label
_atom_site_type_symbol
_atom_site_fract_x
_atom_site_fract_y
_atom_site_fract_z
Mg1 Mg 0.250 0.250 0.000
Al1 Al 0.000 0.000 0.500
P1 P 0.000 0.500 0.500
# **M_tot**: 0.0 μB/f.u.
# **Calculated formation energy**: -14 kJ/mol of formula units
# **Excess energy over the best structure of this formula in the dataset**: 209 meV/atom

(3)
# PBE-GGA Mg2AlP, relaxed
data_Mg2AlP
_space_group_name_H-M_alt 'P 1'
_space_group_IT_number 1
_cell_length_a 3.842
_cell_length_b 6.079
_cell_length_c 7.589
_cell_angle_alpha 98.34
_cell_angle_beta 104.57
_cell_angle_gamma 108.39
loop_
_space_group_symop_operation_xyz
'x,y,z'
loop_
_atom_site_label
_atom_site_type_symbol
_atom_site_fract_x
_atom_site_fract_y
_atom_site_fract_z
Mg1 Mg 0.000 0.000 0.000
Mg2 Mg 0.004 0.681 0.327
Mg3 Mg 0.254 0.560 0.948
Mg4 Mg 0.398 0.117 0.680
Al1 Al 0.662 0.690 0.635
Al2 Al 0.673 0.048 0.299
P1 P 0.682 0.311 0.054
P2 P 0.980 0.388 0.573
# **M_tot**: 0.0 μB/f.u.
# **Calculated formation energy**: -90 kJ/mol of formula units
# **Excess energy over the best structure of this formula in the dataset**: 11 meV/atom

(4)
# PBE-GGA Mg2AlP, relaxed
data_Mg2AlP
_space_group_name_H-M_alt 'P m m m'
_space_group_IT_number 47
_cell_length_a 3.828
_cell_length_b 4.198
_cell_length_c 4.595
_cell_angle_alpha 90.00
_cell_angle_beta 90.00
_cell_angle_gamma 90.00
loop_
_space_group_symop_operation_xyz
'x,y,z'
'-x,-y,-z'
'-x,-y,z'
'x,y,-z'
'x,-y,-z'
'-x,y,z'
'-x,y,-z'
'x,-y,z'
loop_
_atom_site_label
_atom_site_type_symbol
_atom_site_fract_x
_atom_site_fract_y
_atom_site_fract_z
Mg1 Mg 0.000 0.000 0.000
Mg2 Mg 0.000 0.500 0.500
Al1 Al 0.500 0.000 0.500
P1 P 0.500 0.500 0.000
# **M_tot**: 0.0 μB/f.u.
# **Calculated formation energy**: -19 kJ/mol of formula units
# **Excess energy over the best structure of this formula in the dataset**: 194 meV/atom

(5)
# PBE-GGA Mg2AlP, relaxed
data_Mg2AlP
_space_group_name_H-M_alt 'P 4 m m'
_space_group_IT_number 99
_cell_length_a 3.609
_cell_length_b 3.609
_cell_length_c 5.633
_cell_angle_alpha 90.00
_cell_angle_beta 90.00
_cell_angle_gamma 90.00
loop_
_space_group_symop_operation_xyz
'x,y,z'
'-y,x,z'
'-x,-y,z'
'y,-x,z'
'-x,y,z'
'y,x,z'
'x,-y,z'
'-y,-x,z'
loop_
_atom_site_label
_atom_site_type_symbol
_atom_site_fract_x
_atom_site_fract_y
_atom_site_fract_z
Mg1 Mg 0.000 0.000 0.000
Mg2 Mg 0.500 0.500 0.280
Al1 Al 0.500 0.500 0.748
P1 P 0.000 0.000 0.526
# **M_tot**: 0.0 μB/f.u.
# **Calculated formation energy**: -8 kJ/mol of formula units
# **Excess energy over the best structure of this formula in the dataset**: 223 meV/atom

(6)
# PBE-GGA Mg2AlP, relaxed
data_Mg2AlP
_space_group_name_H-M_alt 'R -3 m'
_space_group_IT_number 166
_space_group_name_Hall '-R 3 2"'
_cell_length_a 3.3257
_cell_length_b 3.3257
_cell_length_c 24.5756
_cell_angle_alpha 90.00
_cell_angle_beta 90.00
_cell_angle_gamma 120.00
loop_
_atom_site_label
_atom_site_type_symbol
_atom_site_fract_x
_atom_site_fract_y
_atom_site_fract_z
Mg1 Mg 0.0000 0.0000 0.2390
Al1 Al 0.0000 0.0000 0.0000
P1 P 0.0000 0.0000 0.5000
# **M_tot**: 0.0 μB/f.u.
# **Calculated formation energy**: -19 kJ/mol of formula units
# **Excess energy over the best structure of this formula in the dataset**: 194 meV/atom